# 1
BP after structural relaxation. Source: Alexandria via LeMat-Bulk, functional PBE.

Cell lengths 8.389, 8.389, 3.195 Å; angles 90.00, 90.00, 90.00 degrees
Space group I4/m (No. 87)
Asymmetric unit:
1 B 0.117 0.712 0.000 (multiplicity 8)
2 P 0.116 0.286 0.000 (multiplicity 8)

Summary:
ΔH_f (0 K), eV/atom: -0.091
Fermi-level density of states, states/eV/cell: 0.420
Final energy, eV/cell: -98.16

***

# 2
AcLa2Tb2Y after structural relaxation. Source: Alexandria via LeMat-Bulk, functional PBE.

Cell lengths 5.664, 10.647, 7.119 Å; angles 90.00, 90.00, 90.00 degrees
Space group Pmc2_1 (No. 26)
Asymmetric unit:
1 Ac 0.000 0.189 0.000 (multiplicity 2)
2 La 0.000 0.477 0.380 (multiplicity 2)
3 La 0.500 0.303 0.639 (multiplicity 2)
4 Tb 0.000 0.133 0.510 (multiplicity 2)
5 Tb 0.500 0.371 0.136 (multiplicity 2)
6 Y 0.500 0.024 0.263 (multiplicity 2)

Summary:
ΔH_f (0 K), eV/atom: 0.079
Fermi-level density of states, states/eV/cell: 18.331
Final energy, eV/cell: -58.43

***

- ΔH_f (0 K) of number 2 (AcLa2Tb2Y)?
  0.079 eV/atom

***

- Which formula does entry 1 have?
  BP

***

- Number 1 is which compound?
  BP

***

- Which formula does entry 1 have?
  BP